# Tl2GeSe3

A relaxed structure of Tl2GeSe3 (PBEsol, Alexandria via LeMat-Bulk).

Lattice parameters (Å, degrees): 6.7998 6.8183 8.6715 90.92 111.25 113.76
Closest atoms and distances in Å follow each position.
Element x y z (fractional)
Tl1 0.1123 0.4426 0.3342  5 Se 3.13-3.46
Tl2 0.2491 0.1737 0.8942  4 Se 3.04-3.29
Tl3 0.7509 0.8263 0.1058  4 Se 3.04-3.29
Tl4 0.8877 0.5574 0.6658  5 Se 3.13-3.46
Ge1 0.4325 0.0483 0.3117  4 Se 2.33-2.42
Ge2 0.5675 0.9517 0.6883  4 Se 2.33-2.42
Se1 0.2151 0.9612 0.4893  2 Ge 2.42
Se2 0.2339 0.7684 0.0770  1 Ge 2.33
Se3 0.4847 0.5973 0.7381  1 Ge 2.34
Se4 0.5153 0.4027 0.2619  1 Ge 2.34
Se5 0.7661 0.2316 0.9230  1 Ge 2.33
Se6 0.7849 0.0388 0.5107  2 Ge 2.42

Results
- DFT total energy (eV per cell) = -47.38
- SG = No. 2



# ZrPW2

A relaxed structure of ZrPW2 (PBEsol, Alexandria via LeMat-Bulk).

Lattice parameters (Å, degrees): 3.1936 4.2447 5.0133 90.00 107.37 90.00
Closest atoms and distances in Å follow each position.
Element x y z (fractional)
Zr1 0.0000 0.0000 0.0000  3 W 2.55-2.83, 4 P 2.73-2.77
P1 0.5610 0.5000 0.1489  5 W 2.62-2.71, 4 Zr 2.73-2.77
W1 0.2655 0.5000 0.5826  3 P 2.62-2.71, 4 W 2.65-2.77
W2 0.6820 0.0000 0.4692  3 Zr 2.55-2.83, 2 P 2.62, 4 W 2.65-2.77

Results
- DFT total energy (eV per cell) = -43.12
- SG = No. 6
- energy of formation (eV per atom) = -0.16



What did the second record say?
# ZrPW2

A relaxed structure of ZrPW2 (PBEsol, Alexandria via LeMat-Bulk).

Lattice parameters (Å, degrees): 3.1936 4.2447 5.0133 90.00 107.37 90.00
Closest atoms and distances in Å follow each position.
Element x y z (fractional)
Zr1 0.0000 0.0000 0.0000  3 W 2.55-2.83, 4 P 2.73-2.77
P1 0.5610 0.5000 0.1489  5 W 2.62-2.71, 4 Zr 2.73-2.77
W1 0.2655 0.5000 0.5826  3 P 2.62-2.71, 4 W 2.65-2.77
W2 0.6820 0.0000 0.4692  3 Zr 2.55-2.83, 2 P 2.62, 4 W 2.65-2.77

Results
- DFT total energy (eV per cell) = -43.12
- SG = No. 6
- energy of formation (eV per atom) = -0.16



- Look up the DFT total energy of the first one.
  -47.38 eV per cell



- What is the DFT total energy in the second record?
  -43.12 eV per cell



- Which value of DFT total energy does entry 2 give?
  -43.12 eV per cell